First-principles (PBE-GGA) data for a relaxed Hf2Bi2Te crystal, as listed in OQMD.

abc: 4.493 4.493 7.588
angles: 107.22 107.22 90.00
Element x y z (fractional)
Te (0.000, 0.000, 0.000)
Bi (0.250, 0.750, 0.500)
Bi (0.750, 0.250, 0.500)
Hf (0.604, 0.604, 0.207)
Hf (0.396, 0.396, 0.793)

Computed properties:
Total magnetic moment ... 0.00 μB/cell
DFT total energy ... -30.23 eV/f.u.
V ... 27.82 A^3/atom


First-principles (PBE-GGA) data for a relaxed InCoHgAu crystal, as listed in OQMD.

abc: 4.665 4.665 4.665
angles: 60.00 60.00 60.00
Element x y z (fractional)
In (0.000, 0.000, 0.000)
Co (0.750, 0.750, 0.750)
Au (0.250, 0.250, 0.250)
Hg (0.500, 0.500, 0.500)

Computed properties:
Energy relative to the lowest polymorph listed for this composition ... 0 meV/atom
Total magnetic moment ... 1.23 μB/cell
V ... 17.95 A^3/atom


First-principles (PBE-GGA) data for a relaxed LiYTlCo crystal, as listed in OQMD.

abc: 4.771 4.771 4.771
angles: 60.00 60.00 60.00
Element x y z (fractional)
Tl (0.000, 0.000, 0.000)
Y (0.250, 0.250, 0.250)
Li (0.500, 0.500, 0.500)
Co (0.750, 0.750, 0.750)

Computed properties:
Energy relative to the lowest polymorph listed for this composition ... 205 meV/atom
Total magnetic moment ... 1.62 μB/cell
V ... 19.20 A^3/atom


First-principles (PBE-GGA) data for a relaxed GdYTlTe3 crystal, as listed in OQMD.

abc: 8.000 8.000 12.060
angles: 90.00 90.00 147.68
Element x y z (fractional)
Tl (0.744, 0.256, 0.250)
Tl (0.256, 0.744, 0.750)
Te (0.644, 0.356, 0.528)
Te (0.644, 0.356, 0.972)
Te (0.064, 0.936, 0.250)
Te (0.356, 0.644, 0.028)
Te (0.936, 0.064, 0.750)
Te (0.356, 0.644, 0.472)
Y (0.434, 0.566, 0.250)
Y (0.566, 0.434, 0.750)
Gd (0.000, 0.000, 0.500)
Gd (0.000, 0.000, 0.000)

Computed properties:
Energy relative to the lowest polymorph listed for this composition ... 0 meV/atom
Total magnetic moment ... 0.48 μB/cell
V ... 34.39 A^3/atom


| no. | mass density (g/cm³) |
| --- | --- |
| 1 | 10.8 |
| 2 | 13.2 |
| 3 | 7.8 |
| 4 | 6.7 |